First-principles (PBE) data for CaNd3Y6Ho2 after structural relaxation, as listed in Alexandria via LeMat-Bulk.

abc: 6.272 6.272 11.940
angles: 95.01 95.01 120.00
Element x y z (fractional)
Ca 0.000 0.000 0.000
Ho 0.333 0.667 0.000
Ho 0.667 0.333 0.000
Y 0.255 0.255 0.750
Y 0.577 0.916 0.750
Y 0.423 0.084 0.250
Y 0.084 0.423 0.250
Y 0.916 0.577 0.750
Y 0.745 0.745 0.250
Nd 0.500 0.500 0.500
Nd 0.166 0.834 0.500
Nd 0.834 0.166 0.500

Computed properties:
N(E_F) = 1.70 states/eV per atom
ΔE_f = 53.1 meV/atom